An optimized crystal structure of ThHg3. Source: the Alexandria database, functional GGA-PBE.

The density of states at the Fermi level comes out at 3.59 states/eV per cell. As for the final energy: -2.247 eV per atom. Its size of the total moment is 0.00 μB/atom.

The space group is P4/mmm (No. 123) and the conventional cell measures 4.827, 4.827 and 4.473 Å, with angles of 90.00, 90.00 and 90.00 degrees. The distinct sites, in fractional coordinates, are Th at (0.000, 0.000, 0.000), Hg at (0.000, 0.500, 0.500) and Hg at (0.500, 0.500, 0.000).